Density functional theory data (PBE with a Hubbard U) for crystalline Cs2CaFeO4 at its relaxed geometry.

Calculated values
Spin magnetization ... 8.00 μB/cell
VASP energy ... -5.198 eV per atom

abc: 13.2828 11.9633 7.0853
angles: 84.28 63.66 32.06
Fractional coordinates of all 16 atoms:
Cs 0.0617 0.0617 0.6883
Cs 0.3117 0.3117 0.9383
Cs 0.6883 0.6883 0.0617
Cs 0.9383 0.9383 0.3117
Ca 0.1250 0.1250 0.1250
Ca 0.8750 0.8750 0.8750
Fe 0.3750 0.3750 0.3750
Fe 0.6250 0.6250 0.6250
O 0.0468 0.6386 0.5217
O 0.2929 0.5217 0.6386
O 0.3614 0.9532 0.7071
O 0.4783 0.7071 0.9532
O 0.5217 0.2929 0.0468
O 0.6386 0.0468 0.2929
O 0.7071 0.4783 0.3614
O 0.9532 0.3614 0.4783